{
  "formula": "PuZnAg2O8",
  "functional": "PBE",
  "state": "optimized geometry",
  "e_form_raw_ev_per_atom": -0.7200,
  "sg": "No. 119",
  "dft_energy_ev_per_atom": -5.801,
  "lattice": [[5.894, 0.774, 0.000], [-1.920, 5.626, 0.000], [-1.987, -3.200, 4.599]],
  "species": ["Pu", "Zn", "Ag", "Ag", "O", "O", "O", "O", "O", "O", "O", "O"],
  "fractional_positions": [[0.000, 0.000, 0.000], [0.250, 0.750, 0.500], [0.750, 0.250, 0.500], [0.500, 0.500, 0.000], [0.311, 0.020, 0.292], [0.282, 0.468, 0.185], [0.282, 0.097, 0.815], [0.728, 0.020, 0.708], [0.903, 0.718, 0.185], [0.980, 0.272, 0.292], [0.980, 0.689, 0.708], [0.532, 0.718, 0.815]]
}